A | SmEr3, PBEsol geometry, DFT meta-GGA SCAN; Fermi-level density of states = 4.91 states/eV/cell; total moment = 0.0 Bohr magnetons per cell
1.0
-1.074 4.776 -0.091
-4.518 -0.985 1.611
4.346 -1.459 3.854
Er Sm
3 1
Direct
0.500 0.500 0.000 Er
0.750 0.250 0.500 Er
0.250 0.750 0.500 Er
0.000 0.000 0.000 Sm

B | SmEr3, PBEsol geometry, DFT meta-GGA SCAN; Fermi-level density of states = 12.49 states/eV/cell; total moment = 0.0 Bohr magnetons per cell
1.0
5.530 0.000 0.000
0.000 7.054 0.000
0.000 -3.527 6.109
Sm Er
2 6
Direct
0.750 0.333 0.667 Sm
0.250 0.667 0.333 Sm
0.250 0.166 0.834 Er
0.750 0.834 0.668 Er
0.250 0.668 0.834 Er
0.250 0.166 0.332 Er
0.750 0.834 0.166 Er
0.750 0.332 0.166 Er

Stability order, top to bottom: B, A

A | EuSeO4, PBEsol geometry, DFT meta-GGA SCAN; Fermi-level density of states = 13.72 states/eV/cell; total moment = 14.0 Bohr magnetons per cell
1.0
-4.383 -0.142 -2.701
0.015 -3.534 3.747
-3.258 5.296 5.008
O Se Eu
8 2 2
Direct
0.238 0.265 0.750 O
0.762 0.735 0.250 O
0.265 0.238 0.250 O
0.275 0.725 0.928 O
0.725 0.275 0.072 O
0.735 0.762 0.750 O
0.725 0.275 0.428 O
0.275 0.725 0.572 O
0.378 0.622 0.750 Se
0.622 0.378 0.250 Se
0.000 0.000 0.500 Eu
0.000 0.000 0.000 Eu

B | EuSeO4, PBEsol geometry, DFT meta-GGA SCAN; Fermi-level density of states = 39.38 states/eV/cell; total moment = 27.8 Bohr magnetons per cell
1.0
-4.796 -4.538 1.601
6.041 -3.580 0.420
0.599 1.831 6.984
O Eu Se
16 4 4
Direct
0.825 0.480 0.393 O
0.280 0.885 0.711 O
0.220 0.615 0.211 O
0.998 0.109 0.657 O
0.432 0.255 0.503 O
0.932 0.755 0.997 O
0.325 0.980 0.107 O
0.780 0.385 0.789 O
0.175 0.520 0.607 O
0.720 0.115 0.289 O
0.502 0.391 0.157 O
0.498 0.609 0.843 O
0.675 0.020 0.893 O
0.068 0.245 0.003 O
0.568 0.745 0.497 O
0.002 0.891 0.343 O
0.598 0.780 0.153 Eu
0.902 0.720 0.653 Eu
0.098 0.280 0.347 Eu
0.402 0.220 0.847 Eu
0.614 0.303 0.337 Se
0.114 0.803 0.163 Se
0.886 0.197 0.837 Se
0.386 0.697 0.663 Se

Stability order, top to bottom: B, A

A | F, PBEsol geometry, DFT meta-GGA SCAN; Fermi-level density of states = 0.71 states/eV/cell; total moment = 1.0 Bohr magnetons per cell
1.0
-2.180 -0.758 0.107
1.324 -1.260 1.414
0.077 2.218 0.645
F
1
Direct
0.000 0.000 0.000 F

B | F, PBEsol geometry, DFT meta-GGA SCAN; Fermi-level density of states = 0.14 states/eV/cell; total moment = 4.0 Bohr magnetons per cell
1.0
2.804 0.026 -0.004
-0.113 3.255 0.019
-0.244 -0.237 5.525
F
4
Direct
0.753 0.086 0.307 F
0.748 0.574 0.807 F
0.247 0.914 0.693 F
0.252 0.426 0.193 F

Stability order, top to bottom: B, A

A | LiFe5O4F8, PBEsol geometry, DFT meta-GGA SCAN; total moment = 15.0 Bohr magnetons per cell
1.0
5.334 0.000 0.000
2.667 4.898 0.000
2.667 0.000 8.031
O F Fe Li
4 8 5 1
Direct
0.020 0.601 0.340 O
0.380 0.601 0.660 O
0.961 0.399 0.660 O
0.640 0.399 0.340 O
0.299 0.085 0.837 F
0.525 0.950 0.500 F
0.221 0.915 0.163 F
0.724 0.553 0.000 F
0.863 0.915 0.837 F
0.616 0.085 0.163 F
0.276 0.447 0.000 F
0.975 0.050 0.500 F
0.750 0.500 0.500 Fe
0.406 0.500 0.188 Fe
0.160 0.000 0.679 Fe
0.840 0.000 0.321 Fe
0.094 0.500 0.812 Fe
0.500 0.000 0.000 Li

B | LiFe5O4F8, PBEsol geometry, DFT meta-GGA SCAN; Fermi-level density of states = 1.98 states/eV/cell; total moment = 3.0 Bohr magnetons per cell
1.0
4.624 -0.073 0.000
-0.326 4.613 0.000
0.000 0.000 8.853
Fe F O Li
5 8 4 1
Direct
0.500 0.500 0.500 Fe
0.000 0.000 0.676 Fe
0.000 0.000 0.324 Fe
0.500 0.500 0.817 Fe
0.500 0.500 0.183 Fe
0.204 0.796 0.169 F
0.803 0.197 0.500 F
0.197 0.803 0.500 F
0.204 0.796 0.831 F
0.305 0.305 0.000 F
0.796 0.204 0.169 F
0.796 0.204 0.831 F
0.695 0.695 0.000 F
0.699 0.699 0.342 O
0.301 0.301 0.658 O
0.301 0.301 0.342 O
0.699 0.699 0.658 O
0.000 0.000 0.000 Li

Stability order, top to bottom: B, A